Entry from Alexandria: a relaxed V3WC crystal (GGA-PBE).

Values from the calculation:
SG = Pm-3m
DFT total energy = -9.957 eV/atom
N(E_F) = 8.1 states/eV/cell
offset from the most stable computed form = 0.000 eV/atom
calculated formation energy = -0.05 eV per atom
volume = 63.8 Å³/cell

Geometry as extended XYZ:
```
5
Lattice="3.996 0.000 0.000 0.000 3.996 0.000 0.000 0.000 3.996" Properties=species:S:1:pos:R:3 pbc="T T T"
V 0.000 0.000 1.998
V 0.000 1.998 0.000
V 1.998 0.000 0.000
W 1.998 1.998 1.998
C 0.000 0.000 0.000
```



Entry from Alexandria: a relaxed Li2TmMg2Cd2 crystal (GGA-PBE).

Values from the calculation:
SG = C2/m
DFT total energy = -2.012 eV/atom
N(E_F) = 5.8 states/eV/cell
calculated formation energy = -0.11 eV per atom
volume = 294.0 Å³/cell

Geometry as extended XYZ:
```
14
Lattice="8.413 0.000 0.000 0.000 4.839 0.000 -2.780 0.000 7.221" Properties=species:S:1:pos:R:3 pbc="T T T"
Li 1.402 0.000 1.246
Li 0.024 2.420 5.974
Li 5.608 2.420 1.246
Li 4.231 0.000 5.974
Tm 0.000 2.420 0.000
Tm 4.206 0.000 0.000
Mg 0.009 2.420 3.111
Mg 1.418 0.000 4.110
Mg 4.215 0.000 3.111
Mg 5.624 2.420 4.110
Cd -1.380 0.000 5.403
Cd 2.807 2.420 1.818
Cd 2.826 2.420 5.403
Cd 7.013 0.000 1.818
```